Entry 1:
Material: Li2ZrNi
Method: DFT, GGA-PBEsol
State: optimized geometry

Summary:
The value obtained for the offset from the most stable computed form is 311 meV/atom. As for the energy of formation: 326.5 meV per atom.

Lattice parameters (Å, degrees): 4.278 4.278 4.278 60.00 60.00 60.00
Positions (direct):
Li1 0.250 0.250 0.250
Li2 0.750 0.750 0.750
Zr1 0.000 0.000 0.000
Ni1 0.500 0.500 0.500



Entry 2:
Material: LiZrNi4
Method: DFT, GGA-PBEsol
State: optimized geometry

Summary:
As for the energy of formation: -357.0 meV per atom.

Lattice parameters (Å, degrees): 4.724 4.724 4.724 60.00 60.00 60.00
Positions (direct):
Li1 0.000 0.000 0.000
Zr1 0.250 0.250 0.250
Ni1 0.123 0.626 0.626
Ni2 0.626 0.123 0.626
Ni3 0.626 0.626 0.123
Ni4 0.626 0.626 0.626



Entry 3:
Material: Li2ZrNi
Method: DFT, GGA-PBEsol
State: optimized geometry

Summary:
The value obtained for the offset from the most stable computed form is 0 meV/atom. As for the energy of formation: 15.0 meV per atom.

Lattice parameters (Å, degrees): 5.649 5.649 4.273 112.07 112.07 30.34
Positions (direct):
Li1 0.215 0.215 0.215
Li2 0.785 0.785 0.785
Zr1 0.000 0.000 0.500
Ni1 0.500 0.500 0.000



Entry 4:
Material: Li4NpO5
Method: DFT, GGA-PBEsol
State: optimized geometry

Summary:
The uncorrected formation energy is -2.425 eV/atom.

Lattice parameters (Å, degrees): 5.182 5.182 5.182 100.27 100.27 130.05
Positions (direct):
Li1 0.087 0.312 0.398
Li2 0.312 0.913 0.225
Li3 0.688 0.087 0.775
Li4 0.913 0.688 0.602
Np1 0.500 0.500 0.000
O1 0.000 0.000 0.000
O2 0.213 0.589 0.802
O3 0.411 0.213 0.624
O4 0.589 0.787 0.376
O5 0.787 0.411 0.198



Entry 5:
Material: LiO8
Method: DFT, GGA-PBEsol
State: optimized geometry

Summary:
The uncorrected formation energy is -0.278 eV/atom. The value obtained for the offset from the most stable computed form is 1 meV/atom.

Lattice parameters (Å, degrees): 4.844 4.865 4.904 103.86 102.43 118.09
Positions (direct):
Li1 0.000 0.000 0.000
O1 0.019 0.665 0.625
O2 0.041 0.668 0.200
O3 0.367 0.352 0.883
O4 0.386 0.356 0.455
O5 0.530 0.669 0.000
O6 0.551 0.671 0.561
O7 0.838 0.353 0.513
O8 0.855 0.351 0.086



Entry 6:
Material: LiO3
Method: DFT, GGA-PBEsol
State: optimized geometry

Summary:
The uncorrected formation energy is -0.633 eV/atom.

Lattice parameters (Å, degrees): 3.948 3.948 3.948 139.92 101.88 91.66
Positions (direct):
Li1 0.000 0.000 0.000
O1 0.128 0.351 0.777
O2 0.491 0.491 0.000
O3 0.574 0.351 0.223



Entry 7:
Material: LiO8
Method: DFT, GGA-PBEsol
State: optimized geometry

Summary:
The uncorrected formation energy is -0.273 eV/atom. The value obtained for the offset from the most stable computed form is 5 meV/atom.

Lattice parameters (Å, degrees): 4.908 4.908 4.207 107.27 107.27 72.84
Positions (direct):
Li1 0.000 0.000 0.000
O1 0.204 0.732 0.340
O2 0.268 0.796 0.660
O3 0.272 0.272 0.342
O4 0.333 0.333 0.659
O5 0.667 0.667 0.341
O6 0.728 0.728 0.658
O7 0.732 0.204 0.340
O8 0.796 0.268 0.660



Entry 8:
Material: LiO8
Method: DFT, GGA-PBEsol
State: optimized geometry

Summary:
The uncorrected formation energy is -0.275 eV/atom. The value obtained for the offset from the most stable computed form is 4 meV/atom.

Lattice parameters (Å, degrees): 4.891 4.891 5.021 119.51 119.51 73.76
Positions (direct):
Li1 0.000 0.000 0.000
O1 0.001 0.523 0.661
O2 0.084 0.049 0.657
O3 0.422 0.460 0.345
O4 0.477 0.999 0.339
O5 0.540 0.578 0.655
O6 0.589 0.130 0.655
O7 0.870 0.411 0.345
O8 0.951 0.916 0.343



Entry 9:
Material: LiO8
Method: DFT, GGA-PBEsol
State: optimized geometry

Summary:
The uncorrected formation energy is -0.279 eV/atom. The value obtained for the offset from the most stable computed form is 0 meV/atom.

Lattice parameters (Å, degrees): 4.932 4.932 4.978 119.04 119.04 73.16
Positions (direct):
Li1 0.000 0.000 0.000
O1 0.012 0.530 0.653
O2 0.062 0.062 0.652
O3 0.348 0.348 0.344
O4 0.425 0.883 0.339
O5 0.457 0.457 0.654
O6 0.530 0.012 0.653
O7 0.883 0.425 0.339
O8 0.933 0.933 0.337



Entry 10:
Material: LiO
Method: DFT, GGA-PBEsol
State: optimized geometry

Summary:
The uncorrected formation energy is -1.427 eV/atom.

Lattice parameters (Å, degrees): 3.120 3.120 7.544 90.00 90.00 120.00
Positions (direct):
Li1 0.000 0.000 0.000
Li2 0.000 0.000 0.500
Li3 0.333 0.667 0.250
Li4 0.667 0.333 0.750
O1 0.333 0.667 0.649
O2 0.333 0.667 0.851
O3 0.667 0.333 0.149
O4 0.667 0.333 0.351



Entry 11:
Material: LiOs3O
Method: DFT, GGA-PBEsol
State: optimized geometry

Summary:
The uncorrected formation energy is 2.456 eV/atom. The value obtained for the offset from the most stable computed form is 1576 meV/atom.

Lattice parameters (Å, degrees): 4.052 4.052 4.052 90.00 90.00 90.00
Positions (direct):
Li1 0.000 0.000 0.000
Os1 0.000 0.000 0.500
Os2 0.000 0.500 0.000
Os3 0.500 0.000 0.000
O1 0.500 0.500 0.500



Entry 12:
Material: LiOs3O
Method: DFT, GGA-PBEsol
State: optimized geometry

Summary:
The uncorrected formation energy is 0.881 eV/atom. The value obtained for the offset from the most stable computed form is 0 meV/atom.

Lattice parameters (Å, degrees): 4.014 4.014 4.014 90.00 90.00 90.00
Positions (direct):
Li1 0.000 0.000 0.000
Os1 0.000 0.500 0.500
Os2 0.500 0.000 0.500
Os3 0.500 0.500 0.000
O1 0.500 0.500 0.500



Across the entries above, total energy takes the values -4.469, -6.305, -4.780, -7.222, -5.162, -5.061, -5.158, -5.160, -5.163, -5.035, -6.317, -7.892 eV per atom, respectively.